Computed, not measured: a geometry-optimized TaCuNi3 structure at the PBE-GGA level of DFT.

a b c (Å): 4.437 4.649 6.844
angles (deg): 109.85 90.00 90.00
Fractional coordinates of all 10 atoms:
Ni (0.250, 0.606, 0.726)
Ni (0.500, 0.000, 0.000)
Ni (0.750, 0.394, 0.274)
Ni (0.000, 0.000, 0.000)
Ni (0.750, 0.879, 0.274)
Ni (0.250, 0.121, 0.726)
Cu (0.750, 0.443, 0.886)
Cu (0.250, 0.557, 0.114)
Ta (0.750, 0.810, 0.620)
Ta (0.250, 0.190, 0.380)

Properties
Energy above the lowest structure with this stoichiometry (meV/atom): 0
D(E_F) (states/eV per cell): 6.75
Energy of formation (meV per atom): 38
Total magnetic moment (μB/atom): 0.000
Energy (eV/atom): -6.620